1.
Computed, not measured: a relaxed Cd2PbSe2 crystal at the PBE level of DFT.

Computed properties:
- excess energy over the best structure of this formula in the dataset (kcal/mol of atoms) = 1.72
- formation energy from raw total energies (meV per atom) = -124
- total magnetic moment (μB/f.u.) = 0.00
- crystal system = tetragonal

Cell and atoms, written as CIF:
```
data_Cd2PbSe2
_space_group_name_H-M_alt 'I 4/m m m'
_space_group_IT_number 139
_space_group_name_Hall '-I 4 2'
_cell_length_a 4.1476
_cell_length_b 4.1476
_cell_length_c 15.1749
_cell_angle_alpha 90.00
_cell_angle_beta 90.00
_cell_angle_gamma 90.00
loop_
_atom_site_label
_atom_site_type_symbol
_atom_site_fract_x
_atom_site_fract_y
_atom_site_fract_z
Cd1 Cd 0.0000 0.5000 0.2500
Pb1 Pb 0.0000 0.0000 0.0000
Se1 Se 0.0000 0.0000 0.3995
```

=====

2.
Computed, not measured: a relaxed Cd2Pb2Se crystal at the PBE level of DFT.

Computed properties:
- excess energy over the best structure of this formula in the dataset (kcal/mol of atoms) = 0.61
- formation energy from raw total energies (meV per atom) = 25
- total magnetic moment (μB/f.u.) = 0.00
- crystal system = tetragonal

Cell and atoms, written as CIF:
```
data_Cd2Pb2Se
_space_group_name_H-M_alt 'P 4/m b m'
_space_group_IT_number 127
_space_group_name_Hall '-P 4 2ab'
_cell_length_a 8.1587
_cell_length_b 8.1587
_cell_length_c 4.4522
_cell_angle_alpha 90.00
_cell_angle_beta 90.00
_cell_angle_gamma 90.00
loop_
_atom_site_label
_atom_site_type_symbol
_atom_site_fract_x
_atom_site_fract_y
_atom_site_fract_z
Cd1 Cd 0.1351 0.3649 0.0000
Pb1 Pb 0.1748 0.6748 0.5000
Se1 Se 0.0000 0.0000 0.5000
```

=====

3.
Computed, not measured: a relaxed Cd2PbSe crystal at the PBE level of DFT.

Computed properties:
- excess energy over the best structure of this formula in the dataset (kcal/mol of atoms) = 2.52
- formation energy from raw total energies (meV per atom) = -72
- total magnetic moment (μB/f.u.) = 0.00
- crystal system = tetragonal

Cell and atoms, written as CIF:
```
data_Cd2PbSe
_space_group_name_H-M_alt 'P 4/m m m'
_space_group_IT_number 123
_space_group_name_Hall '-P 4 2'
_cell_length_a 4.2976
_cell_length_b 4.2976
_cell_length_c 5.9070
_cell_angle_alpha 90.00
_cell_angle_beta 90.00
_cell_angle_gamma 90.00
loop_
_atom_site_label
_atom_site_type_symbol
_atom_site_fract_x
_atom_site_fract_y
_atom_site_fract_z
Cd1 Cd 0.0000 0.5000 0.0000
Pb1 Pb 0.0000 0.0000 0.5000
Se1 Se 0.5000 0.5000 0.5000
```

=====

4.
Computed, not measured: a relaxed Cd2PbSe crystal at the PBE level of DFT.

Computed properties:
- excess energy over the best structure of this formula in the dataset (kcal/mol of atoms) = 3.24
- formation energy from raw total energies (meV per atom) = -41
- total magnetic moment (μB/f.u.) = 0.00
- crystal system = orthorhombic

Cell and atoms, written as CIF:
```
data_Cd2PbSe
_space_group_name_H-M_alt 'I m m 2'
_space_group_IT_number 44
_cell_length_a 3.8370
_cell_length_b 5.1937
_cell_length_c 10.3806
_cell_angle_alpha 90.00
_cell_angle_beta 90.00
_cell_angle_gamma 90.00
loop_
_space_group_symop_operation_xyz
'x,y,z'
'-x,-y,z'
'-x,y,z'
'x,-y,z'
'x+1/2,y+1/2,z+1/2'
'-x+1/2,-y+1/2,z+1/2'
'-x+1/2,y+1/2,z+1/2'
'x+1/2,-y+1/2,z+1/2'
loop_
_atom_site_label
_atom_site_type_symbol
_atom_site_fract_x
_atom_site_fract_y
_atom_site_fract_z
Cd1 Cd 0.0000 0.0000 0.0000
Cd2 Cd 0.0000 0.5000 0.2412
Pb1 Pb 0.0000 0.0000 0.4467
Se1 Se 0.0000 0.5000 0.7091
```

=====

5.
Computed, not measured: a relaxed Cd2PbSe crystal at the PBE level of DFT.

Computed properties:
- excess energy over the best structure of this formula in the dataset (kcal/mol of atoms) = 1.26
- formation energy from raw total energies (meV per atom) = -126
- total magnetic moment (μB/f.u.) = 0.00
- crystal system = trigonal

Cell and atoms, written as CIF:
```
data_Cd2PbSe
_space_group_name_H-M_alt 'R 3 m'
_space_group_IT_number 160
_space_group_name_Hall 'R 3 -2"'
_cell_length_a 4.0399
_cell_length_b 4.0399
_cell_length_c 23.2968
_cell_angle_alpha 90.00
_cell_angle_beta 90.00
_cell_angle_gamma 120.00
loop_
_atom_site_label
_atom_site_type_symbol
_atom_site_fract_x
_atom_site_fract_y
_atom_site_fract_z
Cd1 Cd 0.0000 0.0000 0.0000
Cd2 Cd 0.0000 0.0000 0.2524
Pb1 Pb 0.0000 0.0000 0.4878
Se1 Se 0.0000 0.0000 0.7385
```

=====

6.
Computed, not measured: a relaxed Cd2PbSe crystal at the PBE level of DFT.

Computed properties:
- excess energy over the best structure of this formula in the dataset (kcal/mol of atoms) = 0.00
- formation energy from raw total energies (meV per atom) = -181
- total magnetic moment (μB/f.u.) = 0.00
- crystal system = trigonal

Cell and atoms, written as CIF:
```
data_Cd2PbSe
_space_group_name_H-M_alt 'R -3 m'
_space_group_IT_number 166
_space_group_name_Hall '-R 3 2"'
_cell_length_a 3.9942
_cell_length_b 3.9942
_cell_length_c 23.1738
_cell_angle_alpha 90.00
_cell_angle_beta 90.00
_cell_angle_gamma 120.00
loop_
_atom_site_label
_atom_site_type_symbol
_atom_site_fract_x
_atom_site_fract_y
_atom_site_fract_z
Cd1 Cd 0.0000 0.0000 0.2387
Pb1 Pb 0.0000 0.0000 0.0000
Se1 Se 0.0000 0.0000 0.5000
```

=====

7.
Computed, not measured: a relaxed CdSnPb2Se5 crystal at the PBE level of DFT.

Computed properties:
- formation energy from raw total energies (meV per atom) = -454
- total magnetic moment (μB/f.u.) = 0.00
- crystal system = orthorhombic

Cell and atoms, written as CIF:
```
data_CdSnPb2Se5
_space_group_name_H-M_alt 'C m c 21'
_space_group_IT_number 36
_cell_length_a 4.1017
_cell_length_b 19.6497
_cell_length_c 12.9037
_cell_angle_alpha 90.00
_cell_angle_beta 90.00
_cell_angle_gamma 90.00
loop_
_space_group_symop_operation_xyz
'x,y,z'
'-x,-y,z+1/2'
'-x,y,z'
'x,-y,z+1/2'
'x+1/2,y+1/2,z'
'-x+1/2,-y+1/2,z+1/2'
'-x+1/2,y+1/2,z'
'x+1/2,-y+1/2,z+1/2'
loop_
_atom_site_label
_atom_site_type_symbol
_atom_site_fract_x
_atom_site_fract_y
_atom_site_fract_z
Cd1 Cd 0.0000 0.2076 0.0000
Sn1 Sn 0.0000 0.4526 0.4053
Pb1 Pb 0.0000 0.1331 0.2979
Pb2 Pb 0.0000 0.1467 0.6471
Se1 Se 0.0000 0.0280 0.0287
Se2 Se 0.0000 0.2944 0.6513
Se3 Se 0.0000 0.3264 0.3519
Se4 Se 0.0000 0.3455 0.9837
Se5 Se 0.0000 0.4766 0.7414
```

=====

8.
Computed, not measured: a relaxed CdSn2PbSe6 crystal at the PBE level of DFT.

Computed properties:
- formation energy from raw total energies (meV per atom) = -363
- total magnetic moment (μB/f.u.) = 0.00
- crystal system = monoclinic

Cell and atoms, written as CIF:
```
data_CdSn2PbSe6
_space_group_name_H-M_alt 'C 1 2/c 1'
_space_group_IT_number 15
_cell_length_a 14.0761
_cell_length_b 13.0446
_cell_length_c 7.6038
_cell_angle_alpha 90.00
_cell_angle_beta 110.72
_cell_angle_gamma 90.00
loop_
_space_group_symop_operation_xyz
'x,y,z'
'-x,-y,-z'
'-x,y,-z+1/2'
'x,-y,z+1/2'
'x+1/2,y+1/2,z'
'-x+1/2,-y+1/2,-z'
'-x+1/2,y+1/2,-z+1/2'
'x+1/2,-y+1/2,z+1/2'
loop_
_atom_site_label
_atom_site_type_symbol
_atom_site_fract_x
_atom_site_fract_y
_atom_site_fract_z
Cd1 Cd 0.0000 0.2246 0.2500
Sn1 Sn 0.1941 0.4252 0.7143
Pb1 Pb 0.0000 0.1263 0.7500
Se1 Se 0.1110 0.0635 0.1576
Se2 Se 0.1176 0.4269 0.9810
Se3 Se 0.1409 0.2442 0.5849
```

=====

9.
Computed, not measured: a relaxed YCd2PbSe crystal at the PBE level of DFT.

Computed properties:
- formation energy from raw total energies (meV per atom) = 219
- total magnetic moment (μB/f.u.) = 0.00
- crystal system = tetragonal

Cell and atoms, written as CIF:
```
data_YCd2PbSe
_space_group_name_H-M_alt 'P 4/m m m'
_space_group_IT_number 123
_space_group_name_Hall '-P 4 2'
_cell_length_a 5.3734
_cell_length_b 5.3734
_cell_length_c 6.0974
_cell_angle_alpha 90.00
_cell_angle_beta 90.00
_cell_angle_gamma 90.00
loop_
_atom_site_label
_atom_site_type_symbol
_atom_site_fract_x
_atom_site_fract_y
_atom_site_fract_z
Y1 Y 0.0000 0.0000 0.0000
Cd1 Cd 0.0000 0.5000 0.5000
Pb1 Pb 0.0000 0.0000 0.5000
Se1 Se 0.5000 0.5000 0.0000
```

=====

10.
Computed, not measured: a relaxed CdSiPb4 crystal at the PBE level of DFT.

Computed properties:
- formation energy from raw total energies (meV per atom) = 522
- total magnetic moment (μB/f.u.) = 0.00
- crystal system = cubic

Cell and atoms, written as CIF:
```
data_CdSiPb4
_space_group_name_H-M_alt 'F -4 3 m'
_space_group_IT_number 216
_space_group_name_Hall 'F -4 2 3'
_cell_length_a 9.0897
_cell_length_b 9.0897
_cell_length_c 9.0897
_cell_angle_alpha 90.00
_cell_angle_beta 90.00
_cell_angle_gamma 90.00
loop_
_atom_site_label
_atom_site_type_symbol
_atom_site_fract_x
_atom_site_fract_y
_atom_site_fract_z
Cd1 Cd 0.0000 0.0000 0.0000
Si1 Si 0.2500 0.2500 0.2500
Pb1 Pb 0.1249 0.1249 0.6249
```

=====

In the order shown, the computed raw total energy values come out to -2.625; -2.521; -2.328; -2.296; -2.382; -2.437; -3.760; -3.717; -2.878; -3.006 eV per atom.
In the order shown, the computed V values come out to 261; 296; 109; 207; 329; 320; 1040; 1306; 176; 751 Å³ per cell.